1.
4
Lattice="0.0000 3.6424 3.6424 3.6424 0.0000 3.6424 3.6424 3.6424 0.0000" Properties=species:S:1:pos:R:3 comment="LiEuDyCu, optimized geometry, DFT PBE-GGA" e_tot_ev_per_atom=-5.1921 volume_a3_per_atom=24.16 space_group="No. 216" magnetic_moment_mub_per_cell=7.17 ef_mev_per_atom=29 pbc="T T T"
Li 0.0000 0.0000 0.0000
Eu 5.4636 5.4636 5.4636
Dy 1.8212 1.8212 1.8212
Cu 3.6424 3.6424 3.6424

2.
4
Lattice="0.0000 3.4777 3.4777 3.4777 0.0000 3.4777 3.4777 3.4777 0.0000" Properties=species:S:1:pos:R:3 comment="EuDyCuNi, optimized geometry, DFT PBE-GGA" e_tot_ev_per_atom=-6.3379 volume_a3_per_atom=21.03 space_group="No. 216" magnetic_moment_mub_per_cell=7.01 ef_mev_per_atom=-149 pbc="T T T"
Eu 0.0000 0.0000 0.0000
Dy 3.4777 3.4777 3.4777
Cu 5.2165 5.2165 5.2165
Ni 1.7388 1.7388 1.7388

3.
4
Lattice="0.0000 3.5339 3.5339 3.5339 0.0000 3.5339 3.5339 3.5339 0.0000" Properties=species:S:1:pos:R:3 comment="EuDyCuPt, optimized geometry, DFT PBE-GGA" e_tot_ev_per_atom=-6.8614 volume_a3_per_atom=22.07 space_group="No. 216" magnetic_moment_mub_per_cell=6.99 ef_mev_per_atom=-608 pbc="T T T"
Eu 0.0000 0.0000 0.0000
Dy 3.5339 3.5339 3.5339
Cu 5.3008 5.3008 5.3008
Pt 1.7669 1.7669 1.7669

4.
4
Lattice="0.0000 3.4982 3.4982 3.4982 0.0000 3.4982 3.4982 3.4982 0.0000" Properties=species:S:1:pos:R:3 comment="EuDyCuRh, optimized geometry, DFT PBE-GGA" e_tot_ev_per_atom=-6.9690 volume_a3_per_atom=21.40 space_group="No. 216" magnetic_moment_mub_per_cell=7.08 ef_mev_per_atom=-388 pbc="T T T"
Eu 0.0000 0.0000 0.0000
Dy 3.4982 3.4982 3.4982
Cu 5.2473 5.2473 5.2473
Rh 1.7491 1.7491 1.7491

5.
4
Lattice="0.0000 3.4788 3.4788 3.4788 0.0000 3.4788 3.4788 3.4788 0.0000" Properties=species:S:1:pos:R:3 comment="EuDyCuRu, optimized geometry, DFT PBE-GGA" e_tot_ev_per_atom=-7.1592 volume_a3_per_atom=21.05 space_group="No. 216" magnetic_moment_mub_per_cell=6.76 ef_mev_per_atom=-97 pbc="T T T"
Eu 0.0000 0.0000 0.0000
Dy 3.4788 3.4788 3.4788
Cu 5.2182 5.2182 5.2182
Ru 1.7394 1.7394 1.7394

6.
9
Lattice="5.5392 -1.9829 0.0000 5.5392 1.9829 0.0000 -4.3331 0.0000 5.7813" Properties=species:S:1:pos:R:3 comment="DyCu2F6, optimized geometry, DFT PBE-GGA" e_tot_ev_per_atom=-5.2178 volume_a3_per_atom=14.11 e_form_raw_ev_per_fu=-22.938 space_group="No. 12" magnetic_moment_mub_per_cell=1.00 pbc="T T T"
Dy 0.0000 0.0000 0.0000
Cu -0.7573 0.0000 3.6882
Cu 7.5025 0.0000 2.0932
F -1.3145 0.0000 1.7833
F 1.4425 0.0000 1.8730
F -0.0067 0.0000 5.5522
F 6.7519 0.0000 0.2291
F 5.3027 0.0000 3.9084
F 8.0597 0.0000 3.9980

7.
6
Lattice="12.2932 0.0000 0.0000 0.0000 1.6976 2.9446 0.0000 -1.6976 2.9446" Properties=species:S:1:pos:R:3 comment="DyCuF, optimized geometry, DFT PBE-GGA" e_tot_ev_per_atom=-4.7436 volume_a3_per_atom=20.48 e_form_raw_ev_per_fu=-3.661 space_group="No. 38" magnetic_moment_mub_per_cell=0.00 pbc="T T T"
Dy 2.0509 0.0000 0.0000
Dy 10.2422 0.0000 0.0000
Cu 0.0000 0.0000 1.9573
Cu 6.1466 0.0000 1.9243
F 3.4003 0.0000 1.9657
F 8.8929 0.0000 1.9657

8.
18
Lattice="3.7481 2.1639 5.6753 -3.7481 2.1639 5.6753 0.0000 -4.3279 5.6753" Properties=species:S:1:pos:R:3 comment="K2DyCu3F12, optimized geometry, DFT PBE-GGA" e_tot_ev_per_atom=-4.6741 volume_a3_per_atom=15.34 e_form_raw_ev_per_fu=-42.592 space_group="No. 166" magnetic_moment_mub_per_cell=3.63 pbc="T T T"
K 0.0000 0.0000 2.0279
K 0.0000 0.0000 14.9980
Dy 0.0000 0.0000 8.5129
Cu -1.8740 -1.0820 5.6753
Cu -1.8740 1.0820 11.3506
Cu 0.0000 2.1639 5.6753
F -1.7962 -1.0371 7.6515
F 0.0000 -1.6622 5.7470
F -1.4395 0.8311 5.7470
F 0.0000 -2.0741 9.3744
F -1.7962 1.0370 9.3744
F -1.4395 -0.8311 11.2789
F 1.4395 0.8311 5.7470
F 1.7962 -1.0370 7.6515
F 0.0000 2.0741 7.6515
F 1.4395 -0.8311 11.2789
F 0.0000 1.6622 11.2789
F 1.7962 1.0370 9.3743

9.
18
Lattice="5.6294 0.0000 0.0000 -2.8147 4.8752 0.0000 0.0000 0.0000 9.6115" Properties=species:S:1:pos:R:3 comment="NaDyCuF6, optimized geometry, DFT PBE-GGA" e_tot_ev_per_atom=-5.2532 volume_a3_per_atom=14.65 e_form_raw_ev_per_fu=-26.034 space_group="No. 163" magnetic_moment_mub_per_cell=2.00 pbc="T T T"
Na 0.0000 0.0000 0.0000
Na 0.0000 0.0000 4.8058
Dy 0.0000 3.2501 2.4029
Dy 2.8147 1.6251 7.2087
Cu 0.0000 3.2501 7.2087
Cu 2.8147 1.6251 2.4029
F -0.9162 1.7699 6.1053
F -1.7400 3.1968 8.3120
F 0.9162 1.7699 8.3120
F -0.8238 4.7836 6.1053
F 1.9909 0.0915 1.2996
F 1.0747 1.6784 3.5062
F 1.7400 3.1968 6.1053
F 0.8238 4.7836 8.3120
F 3.6385 0.0915 3.5062
F 1.8985 3.1052 1.2996
F 4.5546 1.6784 1.2996
F 3.7309 3.1052 3.5062

10.
18
Lattice="3.7320 2.1547 6.0538 -3.7320 2.1547 6.0538 0.0000 -4.3093 6.0538" Properties=species:S:1:pos:R:3 comment="Rb2DyCu3F12, optimized geometry, DFT PBE-GGA" e_tot_ev_per_atom=-4.6815 volume_a3_per_atom=16.23 e_form_raw_ev_per_fu=-42.985 space_group="No. 166" magnetic_moment_mub_per_cell=3.51 pbc="T T T"
Rb 0.0000 0.0000 2.0483
Rb 0.0000 0.0000 16.1130
Dy 0.0000 0.0000 9.0807
Cu -1.8660 -1.0773 6.0538
Cu -1.8660 1.0773 12.1076
Cu 0.0000 2.1546 6.0538
F -1.6838 -0.9721 8.0470
F 0.0000 -1.6748 5.9387
F -1.4504 0.8374 5.9387
F 0.0000 -1.9443 10.1144
F -1.6838 0.9721 10.1144
F -1.4504 -0.8374 12.2226
F 1.4504 0.8374 5.9387
F 1.6838 -0.9721 8.0470
F 0.0000 1.9443 8.0470
F 1.4504 -0.8374 12.2226
F 0.0000 1.6748 12.2226
F 1.6838 0.9721 10.1144

11.
12
Lattice="6.0202 0.0000 0.0000 -3.0101 5.2136 0.0000 0.0000 0.0000 7.8424" Properties=species:S:1:pos:R:3 comment="RbDyCu2F8, optimized geometry, DFT PBE-GGA" e_tot_ev_per_atom=-4.8570 volume_a3_per_atom=20.51 e_form_raw_ev_per_fu=-29.551 space_group="No. 164" magnetic_moment_mub_per_cell=2.00 pbc="T T T"
Rb 0.0000 0.0000 0.0000
Dy 0.0000 0.0000 3.9212
Cu 0.0000 3.4757 1.7458
Cu 3.0101 1.7379 6.0966
F 0.0000 1.6796 2.5350
F -1.5555 4.3738 2.5350
F 1.4546 0.8398 5.3074
F 0.0000 3.4757 7.7673
F 3.0101 1.7379 0.0751
F 1.5555 4.3738 2.5350
F 4.5656 0.8398 5.3074
F 3.0101 3.5340 5.3074

12.
10
Lattice="6.3566 0.0000 0.0000 -3.1783 5.5050 0.0000 0.0000 0.0000 5.8949" Properties=species:S:1:pos:R:3 comment="DyTl2CuF6, optimized geometry, DFT PBE-GGA" e_tot_ev_per_atom=-4.9275 volume_a3_per_atom=20.63 e_form_raw_ev_per_fu=-24.617 space_group="No. 164" magnetic_moment_mub_per_cell=0.11 pbc="T T T"
Dy 0.0000 0.0000 0.0000
Tl 0.0000 3.6700 2.7728
Tl 3.1783 1.8350 3.1221
Cu 0.0000 0.0000 2.9474
F 0.0000 1.6774 4.4644
F -1.7256 4.6663 4.4644
F 1.4527 0.8387 1.4304
F 1.7256 4.6663 4.4644
F 4.9039 0.8387 1.4304
F 3.1783 3.8276 1.4304

13.
12
Lattice="5.8421 0.0000 0.0000 -2.9210 5.0594 0.0000 0.0000 0.0000 7.8594" Properties=species:S:1:pos:R:3 comment="DyTlCu2F8, optimized geometry, DFT PBE-GGA" e_tot_ev_per_atom=-4.7871 volume_a3_per_atom=19.36 e_form_raw_ev_per_fu=-27.313 space_group="No. 164" magnetic_moment_mub_per_cell=2.00 pbc="T T T"
Dy 0.0000 0.0000 0.0000
Tl 0.0000 0.0000 3.9297
Cu 0.0000 3.3729 5.5023
Cu 2.9210 1.6865 2.3571
F 0.0000 1.6805 6.4731
F -1.4656 4.2191 6.4731
F 1.4554 0.8403 1.3863
F 0.0000 3.3729 3.6588
F 2.9210 1.6865 4.2006
F 1.4656 4.2191 6.4731
F 4.3867 0.8403 1.3863
F 2.9210 3.3788 1.3863

14.
9
Lattice="2.9773 -4.8748 0.0000 2.9773 4.8748 0.0000 -0.1840 0.0000 5.9352" Properties=species:S:1:pos:R:3 comment="DyTlCuF6, optimized geometry, DFT PBE-GGA" e_tot_ev_per_atom=-5.1869 volume_a3_per_atom=19.14 e_form_raw_ev_per_fu=-24.389 space_group="No. 5" magnetic_moment_mub_per_cell=1.01 pbc="T T T"
Dy 0.0000 0.0000 0.0000
Tl 2.8853 -1.6721 2.9676
Cu 2.9773 1.5758 0.0000
F 0.9487 1.3101 1.3866
F 2.0715 3.0233 4.8617
F 1.7887 0.2344 4.9443
F 3.6992 3.0233 1.0735
F 3.9819 0.2344 0.9909
F 4.8220 1.3101 4.5486

15.
11
Lattice="8.5261 -2.5463 0.0000 8.5261 2.5463 0.0000 -1.9629 0.0000 6.3536" Properties=species:S:1:pos:R:3 comment="Dy8FeCu2, optimized geometry, DFT PBE-GGA" e_tot_ev_per_atom=-4.9158 volume_a3_per_atom=25.08 space_group="No. 12" magnetic_moment_mub_per_cell=0.00 ef_mev_per_atom=-55 pbc="T T T"
Dy -0.0455 0.0000 1.8800
Dy 1.7827 0.0000 5.1983
Dy 4.6924 0.0000 3.3376
Dy 6.8691 0.0000 0.4094
Dy 8.2202 0.0000 5.9442
Dy 10.3970 0.0000 3.0159
Dy 13.3066 0.0000 1.1552
Dy 15.1349 0.0000 4.4736
Fe 7.5447 0.0000 3.1768
Cu 2.7160 0.0000 1.3890
Cu 12.3734 0.0000 4.9646

16.
12
Lattice="3.8690 -5.2016 0.0000 3.8690 5.2016 0.0000 0.0000 0.0000 5.5313" Properties=species:S:1:pos:R:3 comment="DyGa3FeCu, optimized geometry, DFT PBE-GGA" e_tot_ev_per_atom=-4.4691 volume_a3_per_atom=18.55 space_group="No. 63" magnetic_moment_mub_per_cell=0.97 ef_mev_per_atom=-95 pbc="T T T"
Dy 3.8690 3.1123 4.1484
Dy 3.8690 -3.1123 1.3828
Ga 1.8503 0.0000 0.0000
Ga 1.8503 0.0000 2.7656
Ga 3.8690 2.1142 1.3828
Ga 3.8690 -2.1142 4.1484
Ga 5.8877 0.0000 0.0000
Ga 5.8877 0.0000 2.7656
Fe 3.8690 4.4421 1.3828
Fe 3.8690 -4.4421 4.1484
Cu 3.8690 0.2738 4.1484
Cu 3.8690 -0.2738 1.3828

17.
4
Lattice="0.0000 3.3787 3.3787 3.3787 0.0000 3.3787 3.3787 3.3787 0.0000" Properties=species:S:1:pos:R:3 comment="DyHoFeCu, optimized geometry, DFT PBE-GGA" e_tot_ev_per_atom=-5.4637 volume_a3_per_atom=19.29 space_group="No. 216" magnetic_moment_mub_per_cell=0.00 ef_mev_per_atom=-29 pbc="T T T"
Dy 0.0000 0.0000 0.0000
Ho 3.3787 3.3787 3.3787
Fe 1.6894 1.6894 1.6894
Cu 5.0681 5.0681 5.0681

18.
4
Lattice="0.0000 3.5062 3.5062 3.5062 0.0000 3.5062 3.5062 3.5062 0.0000" Properties=species:S:1:pos:R:3 comment="LaDyFeCu, optimized geometry, DFT PBE-GGA" e_tot_ev_per_atom=-5.4738 volume_a3_per_atom=21.55 space_group="No. 216" magnetic_moment_mub_per_cell=1.10 ef_mev_per_atom=48 pbc="T T T"
La 0.0000 0.0000 0.0000
Dy 3.5062 3.5062 3.5062
Fe 1.7531 1.7531 1.7531
Cu 5.2593 5.2593 5.2593

19.
4
Lattice="0.0000 3.4786 3.4786 3.4786 0.0000 3.4786 3.4786 3.4786 0.0000" Properties=species:S:1:pos:R:3 comment="NdDyFeCu, optimized geometry, DFT PBE-GGA" e_tot_ev_per_atom=-5.4332 volume_a3_per_atom=21.05 space_group="No. 216" magnetic_moment_mub_per_cell=1.17 ef_mev_per_atom=49 pbc="T T T"
Nd 0.0000 0.0000 0.0000
Dy 3.4786 3.4786 3.4786
Fe 5.2178 5.2178 5.2178
Cu 1.7393 1.7393 1.7393

20.
4
Lattice="0.0000 3.4629 3.4629 3.4629 0.0000 3.4629 3.4629 3.4629 0.0000" Properties=species:S:1:pos:R:3 comment="PmDyFeCu, optimized geometry, DFT PBE-GGA" e_tot_ev_per_atom=-5.4437 volume_a3_per_atom=20.76 space_group="No. 216" magnetic_moment_mub_per_cell=1.13 ef_mev_per_atom=34 pbc="T T T"
Pm 0.0000 0.0000 0.0000
Dy 3.4629 3.4629 3.4629
Fe 1.7315 1.7315 1.7315
Cu 5.1944 5.1944 5.1944

21.
4
Lattice="0.0000 3.2871 3.2871 3.2871 0.0000 3.2871 3.2871 3.2871 0.0000" Properties=species:S:1:pos:R:3 comment="DyScFeCu, optimized geometry, DFT PBE-GGA" e_tot_ev_per_atom=-5.9401 volume_a3_per_atom=17.76 space_group="No. 216" magnetic_moment_mub_per_cell=0.00 ef_mev_per_atom=-67 pbc="T T T"
Dy 0.0000 0.0000 0.0000
Sc 3.2871 3.2871 3.2871
Fe 1.6435 1.6435 1.6435
Cu 4.9306 4.9306 4.9306

22.
4
Lattice="0.0000 3.4530 3.4530 3.4530 0.0000 3.4530 3.4530 3.4530 0.0000" Properties=species:S:1:pos:R:3 comment="SmDyFeCu, optimized geometry, DFT PBE-GGA" e_tot_ev_per_atom=-5.4452 volume_a3_per_atom=20.59 space_group="No. 216" magnetic_moment_mub_per_cell=1.12 ef_mev_per_atom=25 pbc="T T T"
Sm 0.0000 0.0000 0.0000
Dy 3.4530 3.4530 3.4530
Fe 1.7265 1.7265 1.7265
Cu 5.1796 5.1796 5.1796

23.
4
Lattice="0.0000 3.3942 3.3942 3.3942 0.0000 3.3942 3.3942 3.3942 0.0000" Properties=species:S:1:pos:R:3 comment="TbDyFeCu, optimized geometry, DFT PBE-GGA" e_tot_ev_per_atom=-5.4588 volume_a3_per_atom=19.55 space_group="No. 216" magnetic_moment_mub_per_cell=0.00 ef_mev_per_atom=-11 pbc="T T T"
Tb 0.0000 0.0000 0.0000
Dy 3.3942 3.3942 3.3942
Fe 5.0913 5.0913 5.0913
Cu 1.6971 1.6971 1.6971

24.
4
Lattice="0.0000 3.4739 3.4739 3.4739 0.0000 3.4739 3.4739 3.4739 0.0000" Properties=species:S:1:pos:R:3 comment="DyThFeCu, optimized geometry, DFT PBE-GGA" e_tot_ev_per_atom=-6.1613 volume_a3_per_atom=20.96 space_group="No. 216" magnetic_moment_mub_per_cell=0.99 ef_mev_per_atom=-16 pbc="T T T"
Dy 0.0000 0.0000 0.0000
Th 3.4739 3.4739 3.4739
Fe 5.2108 5.2108 5.2108
Cu 1.7369 1.7369 1.7369

25.
4
Lattice="0.0000 3.3142 3.3142 3.3142 0.0000 3.3142 3.3142 3.3142 0.0000" Properties=species:S:1:pos:R:3 comment="DyZrFeCu, optimized geometry, DFT PBE-GGA" e_tot_ev_per_atom=-6.4751 volume_a3_per_atom=18.20 space_group="No. 216" magnetic_moment_mub_per_cell=0.62 ef_mev_per_atom=-48 pbc="T T T"
Dy 0.0000 0.0000 0.0000
Zr 3.3142 3.3142 3.3142
Fe 4.9713 4.9713 4.9713
Cu 1.6571 1.6571 1.6571